## LiN3F12 (PBE-GGA)

Data for a relaxed structure of LiN3F12.

The structure belongs to space group R3c (No. 161, hexagonal axes); the cell edges are 8.1608, 8.1608 and 27.6133 Å and the angles 90.00°, 90.00° and 120.00°. Symmetry generates all atoms from Li at (0.0000, 0.0000, 0.0000), N at (0.0027, 0.3070, 0.4278), F at (0.1435, 0.3718, 0.0565), F at (0.1630, 0.4023, 0.7675), F at (0.1788, 0.4228, 0.4062) and F at (0.1925, 0.4100, 0.6587).

The value obtained for the density of states at the Fermi level is 5.81 states/eV/f.u. The value obtained for the total energy is -3.6855 eV per atom. The value obtained for the formation energy from raw total energies is -0.601 eV per atom.



## CsRb2SF6 (PBE-GGA)

Data for a relaxed structure of CsRb2SF6.

The structure belongs to space group I4/mmm (No. 139); the cell edges are 6.515, 6.515 and 10.951 Å and the angles 90.00°, 90.00° and 90.00°. Symmetry generates all atoms from Cs at (0.000, 0.000, 0.000), Rb at (0.000, 0.500, 0.250), S at (0.000, 0.000, 0.500), F at (0.000, 0.000, 0.255) and F at (0.200, 0.200, 0.500).

The value obtained for the density of states at the Fermi level is 0.00 states/eV/f.u. The value obtained for the total energy is -3.8867 eV per atom. The value obtained for the formation energy from raw total energies is -2.072 eV per atom.



## MnReP2 (PBE-GGA)

Data for a relaxed structure of MnReP2.

The structure belongs to space group I-4m2 (No. 119); the cell edges are 3.750, 3.750 and 7.412 Å and the angles 90.00°, 90.00° and 90.00°. Symmetry generates all atoms from Mn at (0.000, 0.000, 0.000), Re at (0.000, 0.500, 0.250), P at (0.000, 0.000, 0.500) and P at (0.000, 0.500, 0.750).

The energy relative to the lowest polymorph listed for this composition is 2.043 eV per formula unit. The value obtained for the density of states at the Fermi level is 3.08 states/eV/f.u. The calculation puts the formation enthalpy at 0 K at 0.25 eV per atom. The value obtained for the total energy is -7.8622 eV per atom.



## CaNd2Au3 (PBE-GGA)

Data for a relaxed structure of CaNd2Au3.

The structure belongs to space group Cmmm (No. 65); the cell edges are 5.204, 15.779 and 3.698 Å and the angles 90.00°, 90.00° and 90.00°. Symmetry generates all atoms from Ca at (0.000, 0.000, 0.000), Nd at (0.000, 0.338, 0.000), Au at (0.000, 0.175, 0.500) and Au at (0.000, 0.500, 0.500).

The energy relative to the lowest polymorph listed for this composition is 0.000 eV per formula unit. The value obtained for the density of states at the Fermi level is 4.68 states/eV/f.u. The calculation puts the formation enthalpy at 0 K at -0.78 eV per atom. The value obtained for the total energy is -4.3418 eV per atom.



Copy entry 2 word for word.
## CsRb2SF6 (PBE-GGA)

Data for a relaxed structure of CsRb2SF6.

The structure belongs to space group I4/mmm (No. 139); the cell edges are 6.515, 6.515 and 10.951 Å and the angles 90.00°, 90.00° and 90.00°. Symmetry generates all atoms from Cs at (0.000, 0.000, 0.000), Rb at (0.000, 0.500, 0.250), S at (0.000, 0.000, 0.500), F at (0.000, 0.000, 0.255) and F at (0.200, 0.200, 0.500).

The value obtained for the density of states at the Fermi level is 0.00 states/eV/f.u. The value obtained for the total energy is -3.8867 eV per atom. The value obtained for the formation energy from raw total energies is -2.072 eV per atom.



Question: Number 2 is which compound?
Answer: CsRb2SF6



Question: Which of these has the highest density of states at the Fermi level?
Answer: LiN3F12



Copy entry 3 word for word.
## MnReP2 (PBE-GGA)

Data for a relaxed structure of MnReP2.

The structure belongs to space group I-4m2 (No. 119); the cell edges are 3.750, 3.750 and 7.412 Å and the angles 90.00°, 90.00° and 90.00°. Symmetry generates all atoms from Mn at (0.000, 0.000, 0.000), Re at (0.000, 0.500, 0.250), P at (0.000, 0.000, 0.500) and P at (0.000, 0.500, 0.750).

The energy relative to the lowest polymorph listed for this composition is 2.043 eV per formula unit. The value obtained for the density of states at the Fermi level is 3.08 states/eV/f.u. The calculation puts the formation enthalpy at 0 K at 0.25 eV per atom. The value obtained for the total energy is -7.8622 eV per atom.